Compound: TbPmZnNi
Source: Alexandria
Functional: GGA-PBE
Structure: optimized geometry

- SG = Amm2
- energy relative to the elements (meV/atom) = -319
- total DFT energy (no corrections) (eV per atom) = -4.428
- density of states at the Fermi level (states/eV per atom) = 0.765
- energy above the most stable polymorph in this dataset (kcal/mol of atoms) = 0.00
- crystal system = orthorhombic
- total magnetization (μB per formula unit) = 0.0

The structure in POSCAR format:
```
TbPmZnNi
1.0
4.4472 0.0000 0.0000
0.0000 1.9293 5.3112
0.0000 -1.9293 5.3112
Tb Pm Zn Ni
1 1 1 1
Cartesian
0.0000 0.0000 0.0000
2.2236 0.0000 2.9916
0.0000 0.0000 7.5209
2.2236 0.0000 6.1224
```